(1)
VASP calculation (GGA-PBE) on a relaxed CsAsPdO crystal.

abc: 4.802 4.802 7.566
angles: 90.00 90.00 90.00
Fractional positions:
As 0.750 0.750 0.043
As 0.250 0.250 0.957
Cs 0.750 0.250 0.500
Cs 0.250 0.750 0.500
O 0.750 0.250 0.000
O 0.250 0.750 0.000
Pd 0.250 0.250 0.270
Pd 0.750 0.750 0.730


(2)
VASP calculation (GGA-PBE) on a relaxed CsAsPdO crystal.

abc: 4.219 4.219 11.842
angles: 90.00 90.00 90.00
Fractional positions:
As 0.000 0.500 0.389
As 0.500 0.000 0.611
Cs 0.500 0.000 0.157
Cs 0.000 0.500 0.843
O 0.000 0.000 0.000
O 0.500 0.500 0.000
Pd 0.000 0.000 0.500
Pd 0.500 0.500 0.500


Of them, (2) has the highest stability.


(1)
VASP calculation (GGA-PBE) on a relaxed CsReAsO crystal.

abc: 3.752 3.752 13.355
angles: 90.00 90.00 90.00
Fractional positions:
As 0.750 0.750 0.368
As 0.250 0.250 0.632
Cs 0.250 0.250 0.156
Cs 0.750 0.750 0.844
O 0.750 0.250 0.000
O 0.250 0.750 0.000
Re 0.750 0.250 0.500
Re 0.250 0.750 0.500


(2)
VASP calculation (GGA-PBE) on a relaxed CsReAsO crystal.

abc: 3.759 8.381 6.934
angles: 90.00 90.00 90.00
Fractional positions:
As 0.000 0.252 0.468
As 0.000 0.748 0.968
Cs 0.000 0.692 0.464
Cs 0.000 0.308 0.964
O 0.500 0.946 0.298
O 0.500 0.054 0.798
Re 0.500 0.923 0.024
Re 0.500 0.077 0.524


Of them, (2) has the highest stability.


(1)
VASP calculation (GGA-PBE) on a relaxed CsZrAsO crystal.

abc: 3.620 7.942 8.061
angles: 90.00 90.00 90.00
Fractional positions:
As 0.000 0.468 0.263
As 0.000 0.532 0.763
Cs 0.500 0.801 0.042
Cs 0.500 0.199 0.542
O 0.500 0.817 0.461
O 0.500 0.183 0.961
Zr 0.000 0.696 0.488
Zr 0.000 0.304 0.988


(2)
VASP calculation (GGA-PBE) on a relaxed CsZrAsO crystal.

abc: 4.748 4.748 10.729
angles: 90.00 90.00 90.00
Fractional positions:
As 0.750 0.750 0.388
As 0.250 0.250 0.612
Cs 0.250 0.250 0.137
Cs 0.750 0.750 0.863
O 0.750 0.250 0.000
O 0.250 0.750 0.000
Zr 0.750 0.250 0.500
Zr 0.250 0.750 0.500


(3)
VASP calculation (GGA-PBE) on a relaxed CsZrAsO crystal.

abc: 4.141 9.028 6.770
angles: 90.00 90.00 90.00
Fractional positions:
As 0.000 0.264 0.451
As 0.000 0.736 0.951
Cs 0.000 0.669 0.456
Cs 0.000 0.331 0.956
O 0.500 0.932 0.323
O 0.500 0.068 0.823
Zr 0.500 0.902 0.024
Zr 0.500 0.098 0.524


Of them, (3) has the highest stability.


(1)
VASP calculation (GGA-PBE) on a relaxed Cu17As crystal.

abc: 4.392 5.083 30.927
angles: 90.00 90.17 90.00
Fractional positions:
As 0.166 0.750 0.280
As 0.834 0.250 0.720
Cu 0.000 0.000 0.000
Cu 0.000 0.500 0.000
Cu 0.500 0.750 0.001
Cu 0.168 0.250 0.067
Cu 0.668 0.002 0.068
Cu 0.668 0.498 0.068
Cu 0.166 0.750 0.068
Cu 0.334 0.001 0.135
Cu 0.334 0.499 0.135
Cu 0.831 0.750 0.135
Cu 0.837 0.250 0.136
Cu 0.494 0.750 0.203
Cu 0.502 0.250 0.203
Cu 0.000 0.502 0.203
Cu 0.000 0.998 0.203
Cu 0.666 0.001 0.271
Cu 0.666 0.499 0.271
Cu 0.167 0.250 0.272
Cu 0.833 0.750 0.728
Cu 0.334 0.501 0.729
Cu 0.334 0.999 0.729
Cu 0.000 0.002 0.797
Cu 0.000 0.498 0.797
Cu 0.498 0.750 0.797
Cu 0.506 0.250 0.797
Cu 0.163 0.750 0.864
Cu 0.169 0.250 0.865
Cu 0.666 0.501 0.865
Cu 0.666 0.999 0.865
Cu 0.834 0.250 0.932
Cu 0.332 0.502 0.932
Cu 0.332 0.998 0.932
Cu 0.832 0.750 0.933
Cu 0.500 0.250 0.999


(2)
VASP calculation (GGA-PBE) on a relaxed Cu17As crystal.

abc: 5.081 5.081 31.361
angles: 90.00 90.00 120.00
Fractional positions:
As 0.667 0.333 0.226
As 0.333 0.667 0.774
Cu 0.166 0.333 0.234
Cu 0.166 0.834 0.234
Cu 0.667 0.834 0.234
Cu 0.501 0.002 0.301
Cu 0.501 0.499 0.301
Cu 0.998 0.499 0.301
Cu 0.000 0.000 0.302
Cu 0.333 0.667 0.367
Cu 0.334 0.167 0.368
Cu 0.833 0.167 0.368
Cu 0.833 0.666 0.368
Cu 0.167 0.334 0.434
Cu 0.167 0.833 0.434
Cu 0.666 0.833 0.434
Cu 0.667 0.333 0.434
Cu 0.000 0.000 0.500
Cu 0.500 0.000 0.500
Cu 0.000 0.500 0.500
Cu 0.500 0.500 0.500
Cu 0.333 0.667 0.566
Cu 0.334 0.167 0.566
Cu 0.833 0.167 0.566
Cu 0.833 0.666 0.566
Cu 0.167 0.334 0.632
Cu 0.167 0.833 0.632
Cu 0.666 0.833 0.632
Cu 0.667 0.333 0.633
Cu 0.000 0.000 0.698
Cu 0.002 0.501 0.699
Cu 0.499 0.501 0.699
Cu 0.499 0.998 0.699
Cu 0.333 0.166 0.766
Cu 0.834 0.166 0.766
Cu 0.834 0.667 0.766


Of them, (1) has the highest stability.


(1)
VASP calculation (GGA-PBE) on a relaxed DyCuAsP crystal.

abc: 3.813 3.813 9.856
angles: 90.00 90.00 90.00
Fractional positions:
As 0.000 0.500 0.337
As 0.500 0.000 0.663
Cu 0.000 0.000 0.500
Cu 0.500 0.500 0.500
Dy 0.500 0.000 0.224
Dy 0.000 0.500 0.776
P 0.000 0.000 0.000
P 0.500 0.500 0.000


(2)
VASP calculation (GGA-PBE) on a relaxed DyCuAsP crystal.

abc: 3.821 3.821 9.773
angles: 90.00 90.00 90.00
Fractional positions:
As 0.000 0.000 0.000
As 0.500 0.500 0.000
Cu 0.000 0.000 0.500
Cu 0.500 0.500 0.500
Dy 0.500 0.000 0.243
Dy 0.000 0.500 0.757
P 0.000 0.500 0.347
P 0.500 0.000 0.653


Of them, (2) has the highest stability.


(1)
VASP calculation (GGA-PBE) on a relaxed FeCuAsOs crystal.

abc: 4.175 4.175 4.175
angles: 60.00 60.00 60.00
Fractional positions:
As 0.000 0.000 0.000
Cu 0.500 0.500 0.500
Fe 0.750 0.750 0.750
Os 0.250 0.250 0.250


(2)
VASP calculation (GGA-PBE) on a relaxed FeCuAsOs crystal.

abc: 4.244 4.244 4.244
angles: 60.00 60.00 60.00
Fractional positions:
As 0.000 0.000 0.000
Cu 0.750 0.750 0.750
Fe 0.500 0.500 0.500
Os 0.250 0.250 0.250


Of them, (1) has the highest stability.


(1)
VASP calculation (GGA-PBE) on a relaxed FeCuAsPb crystal.

abc: 4.721 4.721 4.721
angles: 60.00 60.00 60.00
Fractional positions:
As 0.250 0.250 0.250
Cu 0.750 0.750 0.750
Fe 0.000 0.000 0.000
Pb 0.500 0.500 0.500


(2)
VASP calculation (GGA-PBE) on a relaxed FeCuAsPb crystal.

abc: 4.532 4.532 4.532
angles: 60.00 60.00 60.00
Fractional positions:
As 0.000 0.000 0.000
Cu 0.750 0.750 0.750
Fe 0.250 0.250 0.250
Pb 0.500 0.500 0.500


Of them, (2) has the highest stability.


(1)
VASP calculation (GGA-PBE) on a relaxed FeCuSiAs crystal.

abc: 4.174 4.174 4.174
angles: 60.00 60.00 60.00
Fractional positions:
As 0.500 0.500 0.500
Cu 0.750 0.750 0.750
Fe 0.250 0.250 0.250
Si 0.000 0.000 0.000


(2)
VASP calculation (GGA-PBE) on a relaxed FeCuSiAs crystal.

abc: 4.299 4.299 4.299
angles: 60.00 60.00 60.00
Fractional positions:
As 0.000 0.000 0.000
Cu 0.750 0.750 0.750
Fe 0.500 0.500 0.500
Si 0.250 0.250 0.250


Of them, (1) has the highest stability.


(1)
VASP calculation (GGA-PBE) on a relaxed FeCuAsW crystal.

abc: 4.268 4.268 4.268
angles: 60.00 60.00 60.00
Fractional positions:
As 0.000 0.000 0.000
Cu 0.750 0.750 0.750
Fe 0.500 0.500 0.500
W 0.250 0.250 0.250


(2)
VASP calculation (GGA-PBE) on a relaxed FeCuAsW crystal.

abc: 4.238 4.238 4.238
angles: 60.00 60.00 60.00
Fractional positions:
As 0.000 0.000 0.000
Cu 0.500 0.500 0.500
Fe 0.750 0.750 0.750
W 0.250 0.250 0.250


Of them, (2) has the highest stability.


(1)
VASP calculation (GGA-PBE) on a relaxed YFeCuAs crystal.

abc: 4.620 4.620 4.620
angles: 60.00 60.00 60.00
Fractional positions:
As 0.000 0.000 0.000
Cu 0.750 0.750 0.750
Fe 0.500 0.500 0.500
Y 0.250 0.250 0.250


(2)
VASP calculation (GGA-PBE) on a relaxed YFeCuAs crystal.

abc: 4.524 4.524 4.524
angles: 60.00 60.00 60.00
Fractional positions:
As 0.000 0.000 0.000
Cu 0.750 0.750 0.750
Fe 0.250 0.250 0.250
Y 0.500 0.500 0.500


Of them, (2) has the highest stability.


(1)
VASP calculation (GGA-PBE) on a relaxed ZnFeCuAs crystal.

abc: 4.216 4.216 4.216
angles: 60.00 60.00 60.00
Site moments in Bohr magnetons follow the coordinates.
Fractional positions:
As 0.000 0.000 0.000  -0.01
Cu 0.750 0.750 0.750  0.02
Fe 0.250 0.250 0.250  1.79
Zn 0.500 0.500 0.500  -0.04


(2)
VASP calculation (GGA-PBE) on a relaxed ZnFeCuAs crystal.

abc: 4.203 4.203 4.203
angles: 60.00 60.00 60.00
Site moments in Bohr magnetons follow the coordinates.
Fractional positions:
As 0.250 0.250 0.250  -0.04
Cu 0.750 0.750 0.750  0.03
Fe 0.000 0.000 0.000  1.88
Zn 0.500 0.500 0.500  -0.03


Of them, (1) has the highest stability.


(1)
VASP calculation (GGA-PBE) on a relaxed HfCuHgAs crystal.

abc: 4.708 4.708 4.708
angles: 60.00 60.00 60.00
Fractional positions:
As 0.000 0.000 0.000
Cu 0.750 0.750 0.750
Hf 0.250 0.250 0.250
Hg 0.500 0.500 0.500


(2)
VASP calculation (GGA-PBE) on a relaxed HfCuHgAs crystal.

abc: 4.766 4.766 4.766
angles: 60.00 60.00 60.00
Fractional positions:
As 0.000 0.000 0.000
Cu 0.750 0.750 0.750
Hf 0.500 0.500 0.500
Hg 0.250 0.250 0.250


Of them, (1) has the highest stability.